1.
Here is crystalline Y2HgRuS at its relaxed geometry from Alexandria. Energies are from PBE-GGA.

formation energy without anion corrections = -0.17 eV per atom
E = -27.5 eV for the cell shown
DOS at the Fermi energy = 3.0 states/eV/f.u.
SG = P4/mmm, No. 123

extended XYZ file:
```
5
Lattice="5.230 0.000 0.000 0.000 5.089 0.000 0.000 0.000 5.230" Properties=species:S:1:pos:R:3 pbc="T T T"
Y 0.000 0.000 2.615
Y 2.615 0.000 0.000
Ru 0.000 0.000 0.000
S 2.615 2.545 2.615
Hg 0.000 2.545 0.000
```

---

2.
Here is crystalline YHgRuS2 at its relaxed geometry from Alexandria. Energies are from PBE-GGA.

formation energy without anion corrections = 0.51 eV per atom
E = -21.8 eV for the cell shown
DOS at the Fermi energy = 1.4 states/eV/f.u.
SG = P4/mmm, No. 123

extended XYZ file:
```
5
Lattice="-3.180 -3.566 -1.964 4.497 -2.796 -2.204 0.413 -2.762 4.346" Properties=species:S:1:pos:R:3 pbc="T T T"
Y 0.000 0.000 0.000
Ru 0.865 -4.562 0.089
S 0.206 -1.381 2.173
S -1.590 -1.783 -0.982
Hg 2.248 -1.398 -1.102
```

---

3.
Here is crystalline HgSbRu2 at its relaxed geometry from Alexandria. Energies are from PBE-GGA.

formation energy without anion corrections = 0.55 eV per atom
E = -20.8 eV for the cell shown
DOS at the Fermi energy = 4.2 states/eV/f.u.
SG = Cmmm, No. 65

extended XYZ file:
```
4
Lattice="3.088 -0.003 0.000 -1.383 2.761 0.000 0.000 0.000 8.625" Properties=species:S:1:pos:R:3 pbc="T T T"
Hg 0.853 1.379 6.469
Ru 0.000 0.000 0.166
Ru 0.000 0.000 4.146
Sb 0.853 1.379 2.156
```

---

Q: DOS at the Fermi energy of number 1 (Y2HgRuS)?
A: 3.0 states/eV/f.u.